Si3SnF, relaxed, DFT PBE; energy relative to the elements, uncorrected = 1.096 eV/atom; M_tot = 0.00 μB per formula unit; symmetry = No. 221
1.0
5.217 0.000 0.000
0.000 5.217 0.000
0.000 0.000 5.217
Si Sn F
3 1 1
Cartesian
0.000 0.000 2.608
0.000 2.608 0.000
2.608 0.000 0.000
0.000 0.000 0.000
2.608 2.608 2.608

---

SiSn2F, relaxed, DFT PBE; energy relative to the elements, uncorrected = -0.386 eV/atom; M_tot = 0.00 μB per formula unit; symmetry = No. 122
1.0
-2.476 2.476 7.625
2.476 -2.476 7.625
2.476 2.476 -7.625
Si Sn F
2 4 2
Cartesian
0.000 0.000 0.000
0.000 2.476 3.813
1.238 -0.962 5.719
1.514 1.238 1.906
1.238 3.437 -1.906
0.962 1.238 9.531
2.476 0.000 3.813
0.000 0.000 7.625